A relaxed Pm14ThCd crystal. Source: Alexandria, functional PBE-GGA.

a = 7.036 Å, b = 7.036 Å, c = 11.072 Å
α = 90.00°, β = 90.00°, γ = 102.62°
Atoms (fractional coordinates):
Pm: 0.393 0.607 0.500
Pm: 0.815 0.185 0.500
Pm: 0.897 0.664 0.000
Pm: 0.898 0.684 0.500
Pm: 0.336 0.103 0.000
Pm: 0.316 0.102 0.500
Pm: 0.679 0.900 0.762
Pm: 0.679 0.900 0.238
Pm: 0.100 0.321 0.762
Pm: 0.100 0.321 0.238
Pm: 0.178 0.822 0.749
Pm: 0.178 0.822 0.251
Pm: 0.607 0.393 0.760
Pm: 0.607 0.393 0.240
Th: 0.379 0.621 0.000
Cd: 0.839 0.161 0.000

**Crystal system**: orthorhombic
**DFT total energy**: -74.49 eV per cell